Entry 1:
Material: ZnGaTc2
Method: DFT, PBE-GGA
State: relaxed

**Calculated total energy**: -6.231 eV per atom

Lattice parameters (Å, degrees): 6.1222 6.1222 6.1222 90.00 90.00 90.00
Last column: nearest neighbours and their distance in Å.
Space group F-43m (No. 216)
One atom of each set of equivalent atoms:
1 Zn 0.0000 0.0000 0.0000 (multiplicity 4)  4 Tc 2.65, 4 Ga 2.65
2 Ga 0.2500 0.2500 0.7500 (multiplicity 4)  4 Tc 2.65, 4 Zn 2.65
3 Tc 0.0000 0.0000 0.5000 (multiplicity 4)  4 Tc 2.65, 4 Ga 2.65
4 Tc 0.2500 0.2500 0.2500 (multiplicity 4)  4 Tc 2.65, 4 Zn 2.65

=====

Entry 2:
Material: ZnGa2Tc
Method: DFT, PBE-GGA
State: relaxed

**Calculated total energy**: -4.147 eV per atom

Lattice parameters (Å, degrees): 6.2304 6.2304 6.2304 90.00 90.00 90.00
Last column: nearest neighbours and their distance in Å.
Space group F-43m (No. 216)
One atom of each set of equivalent atoms:
1 Zn 0.0000 0.0000 0.0000 (multiplicity 4)  4 Tc 2.70, 4 Ga 2.70
2 Ga 0.0000 0.0000 0.5000 (multiplicity 4)  4 Ga 2.70, 4 Tc 2.70
3 Ga 0.2500 0.2500 0.2500 (multiplicity 4)  4 Zn 2.70, 4 Ga 2.70
4 Tc 0.2500 0.2500 0.7500 (multiplicity 4)  4 Zn 2.70, 4 Ga 2.70

=====

Entry 3:
Material: ZnGa2Tc
Method: DFT, PBE-GGA
State: relaxed

**Calculated total energy**: -4.147 eV per atom

Lattice parameters (Å, degrees): 6.2304 6.2304 6.2304 90.00 90.00 90.00
Last column: nearest neighbours and their distance in Å.
Space group F-43m (No. 216)
One atom of each set of equivalent atoms:
1 Zn 0.0000 0.0000 0.0000 (multiplicity 4)  4 Tc 2.70, 4 Ga 2.70
2 Ga 0.0000 0.0000 0.5000 (multiplicity 4)  4 Tc 2.70, 4 Ga 2.70
3 Ga 0.2500 0.2500 0.2500 (multiplicity 4)  4 Zn 2.70, 4 Ga 2.70
4 Tc 0.2500 0.2500 0.7500 (multiplicity 4)  4 Zn 2.70, 4 Ga 2.70

=====

Entry 4:
Material: ZrGaTc
Method: DFT, PBE-GGA
State: relaxed

**Energy above the lowest structure with this stoichiometry**: 303 kJ/mol of formula units

Lattice parameters (Å, degrees): 6.3199 6.3199 6.3199 90.00 90.00 90.00
Last column: nearest neighbours and their distance in Å.
Space group F-43m (No. 216)
One atom of each set of equivalent atoms:
1 Zr 0.0000 0.0000 0.0000 (multiplicity 4)  4 Tc 2.74, 4 Ga 2.74
2 Ga 0.2500 0.2500 0.7500 (multiplicity 4)  4 Zr 2.74
3 Tc 0.2500 0.2500 0.2500 (multiplicity 4)  4 Zr 2.74

=====

Entry 5:
Material: ZrGaTc2
Method: DFT, PBE-GGA
State: relaxed

**Calculated total energy**: -8.137 eV per atom

Lattice parameters (Å, degrees): 6.3921 6.3921 6.3921 90.00 90.00 90.00
Last column: nearest neighbours and their distance in Å.
Space group F-43m (No. 216)
One atom of each set of equivalent atoms:
1 Zr 0.0000 0.0000 0.0000 (multiplicity 4)  4 Ga 2.77, 4 Tc 2.77
2 Ga 0.2500 0.2500 0.7500 (multiplicity 4)  4 Tc 2.77, 4 Zr 2.77
3 Tc 0.0000 0.0000 0.5000 (multiplicity 4)  4 Tc 2.77, 4 Ga 2.77
4 Tc 0.2500 0.2500 0.2500 (multiplicity 4)  4 Zr 2.77, 4 Tc 2.77

=====

Entry 6:
Material: ZrGa2Tc
Method: DFT, PBE-GGA
State: relaxed

**Calculated total energy**: -6.353 eV per atom

Lattice parameters (Å, degrees): 6.4276 6.4276 6.4276 90.00 90.00 90.00
Last column: nearest neighbours and their distance in Å.
Space group F-43m (No. 216)
One atom of each set of equivalent atoms:
1 Zr 0.0000 0.0000 0.0000 (multiplicity 4)  4 Tc 2.78, 4 Ga 2.78
2 Ga 0.0000 0.0000 0.5000 (multiplicity 4)  4 Tc 2.78, 4 Ga 2.78
3 Ga 0.2500 0.2500 0.2500 (multiplicity 4)  4 Zr 2.78, 4 Ga 2.78
4 Tc 0.2500 0.2500 0.7500 (multiplicity 4)  4 Zr 2.78, 4 Ga 2.78

=====

no.,total magnetic moment (μB/f.u.)
1,0.00
2,0.02
3,0.02
4,0.02
5,0.01
6,0.18